## SnSbP (PBE-GGA)

Data for a relaxed structure of SnSbP.

Cell and atoms, written as POSCAR:
```
SnSbP
1.0
4.519 0.000 0.000
0.000 4.241 0.000
-2.008 0.000 8.420
Sn Sb P
2 2 2
Cartesian
0.000 0.000 0.000
-0.448 2.121 3.309
0.886 0.000 5.834
2.434 0.000 2.043
-0.812 2.121 7.302
2.466 2.121 5.476
```

Values from the calculation:
- space-group type = Pm, No. 6
- raw formation energy (eV/atom) = 0.08